This record from Alexandria describes a geometry-optimized Pr2CuSn4Pt3 structure. The functional is PBE.

The calculation puts the volume at 22.71 Å³ per atom. The value obtained for the energy of formation from the pure elements is -0.764 eV per atom. The space group is No. 115. The total magnetic moment comes out at 0.0 μB/f.u.

Cell lengths 4.578, 4.578, 10.833 Å; angles 90.00, 90.00, 90.00 degrees
Positions (direct):
Pr 0.000 0.500 0.236
Pr 0.500 0.000 0.764
Cu 0.500 0.500 0.000
Sn 0.000 0.000 0.500
Sn 0.000 0.500 0.873
Sn 0.500 0.000 0.127
Sn 0.500 0.500 0.500
Pt 0.000 0.000 0.000
Pt 0.000 0.500 0.631
Pt 0.500 0.000 0.369